Record 1
Material: SrV3Se4O12
Method: DFT, PBE with a Hubbard U
State: optimized geometry

The structure in POSCAR format:
```
SrV3Se4O12
1.0
-4.786 -3.569 3.238
0.910 -3.245 -5.897
5.701 -1.131 3.515
Sr V Se O
1 3 4 12
direct
0.000 0.000 0.000 Sr
0.574 0.426 0.000 V
0.426 0.000 0.574 V
0.000 0.574 0.426 V
0.897 0.103 0.500 Se
0.103 0.500 0.897 Se
0.500 0.897 0.103 Se
0.500 0.500 0.500 Se
0.500 0.312 0.688 O
0.938 0.500 0.062 O
0.062 0.938 0.500 O
0.500 0.062 0.938 O
0.353 0.018 0.292 O
0.292 0.353 0.018 O
0.018 0.292 0.353 O
0.647 0.708 0.982 O
0.982 0.647 0.708 O
0.708 0.982 0.647 O
0.688 0.500 0.312 O
0.312 0.688 0.500 O
```

Output
The value obtained for the total DFT energy (no corrections) is -6.084 eV/atom. For the density of states at the Fermi level, the calculation gives 0.132 states/eV/atom.

---

Record 2
Material: SrVSe2O
Method: DFT, PBE with a Hubbard U
State: optimized geometry

The structure in POSCAR format:
```
SrVSe2O
1.0
5.748 0.000 0.000
0.000 4.233 0.000
0.000 0.000 5.748
Sr O Se V
1 1 2 1
direct
0.000 0.000 0.000 Sr
0.000 0.500 0.000 O
0.000 0.000 0.500 Se
0.500 0.000 0.000 Se
0.500 0.500 0.500 V
```

Output
The value obtained for the total DFT energy (no corrections) is -4.013 eV/atom. For the density of states at the Fermi level, the calculation gives 1.346 states/eV/atom.

---

Record 3
Material: SrVSeO2
Method: DFT, PBE with a Hubbard U
State: optimized geometry

The structure in POSCAR format:
```
SrVSeO2
1.0
5.317 0.000 0.000
0.000 5.499 0.000
0.000 -2.750 6.265
Sr V Se O
2 2 2 4
direct
0.250 0.620 0.240 Sr
0.750 0.380 0.760 Sr
0.250 0.943 0.886 V
0.750 0.057 0.114 V
0.750 0.748 0.496 Se
0.250 0.252 0.504 Se
0.500 0.216 0.000 O
0.000 0.784 0.000 O
0.500 0.784 0.000 O
0.000 0.216 0.000 O
```

Output
The value obtained for the total DFT energy (no corrections) is -6.246 eV/atom. For the density of states at the Fermi level, the calculation gives 0.558 states/eV/atom.

---

Number 2 is which compound? SrVSe2O

---

Which formula does entry 3 have? SrVSeO2

---

The highest total DFT energy (no corrections) belongs to which entry? SrVSe2O